--- 1 ---
Density functional theory data (PBE-GGA) for an optimized crystal structure of NaTl2In3.

Values from the calculation:
- SG: C2/c
- Total moment: 0.0000 μB per atom

```
NaTl2In3
1.0
-4.224 -4.286 -0.035
4.793 -3.365 1.383
-1.495 -0.287 9.686
Na Tl In
2 4 6
Direct
0.857 0.143 0.250
0.143 0.857 0.750
0.056 0.693 0.111
0.307 0.944 0.389
0.944 0.307 0.889
0.693 0.056 0.611
0.805 0.624 0.457
0.376 0.195 0.043
0.195 0.376 0.543
0.624 0.805 0.957
0.482 0.518 0.250
0.518 0.482 0.750
```

--- 2 ---
Density functional theory data (PBE-GGA) for an optimized crystal structure of NaTl2In3.

Values from the calculation:
- SG: C2/m
- Total moment: 0.0000 μB per atom

```
NaTl2In3
1.0
4.544 0.000 -1.405
-0.110 7.601 -0.355
0.559 0.778 9.862
Na Tl In
2 4 6
Direct
0.150 0.283 0.300
0.850 0.717 0.700
0.460 0.787 0.921
0.540 0.213 0.079
0.230 0.661 0.459
0.770 0.339 0.541
0.692 0.967 0.384
0.073 0.889 0.146
0.389 0.397 0.777
0.611 0.603 0.223
0.927 0.111 0.854
0.308 0.033 0.616
```

Short version: 1 is the most stable of them.

--- 1 ---
Density functional theory data (PBE-GGA) for an optimized crystal structure of Na3TlIn.

Values from the calculation:
- SG: Pm-3m
- Total moment: 0.0000 μB per atom

```
Na3TlIn
1.0
-4.787 -2.226 2.574
2.285 -5.394 -0.416
2.522 0.662 5.263
Na Tl In
3 1 1
Direct
0.000 0.500 0.000
0.000 0.000 0.500
0.500 0.000 0.000
0.500 0.500 0.500
0.000 0.000 0.000
```

--- 2 ---
Density functional theory data (PBE-GGA) for an optimized crystal structure of Na3TlIn.

Values from the calculation:
- SG: P2_1/m
- Total moment: 0.0000 μB per atom

```
Na3TlIn
1.0
-2.994 -0.776 4.366
2.157 -6.023 0.410
6.724 0.815 4.755
Na Tl In
6 2 2
Direct
0.624 0.806 0.575
0.624 0.991 0.172
0.125 0.493 0.668
0.124 0.293 0.073
0.124 0.107 0.475
0.625 0.605 0.980
0.625 0.207 0.772
0.125 0.892 0.875
0.624 0.408 0.374
0.124 0.690 0.273
```

--- 3 ---
Density functional theory data (PBE-GGA) for an optimized crystal structure of Na3TlIn.

Values from the calculation:
- SG: Ima2
- Total moment: 0.0000 μB per atom

```
Na3TlIn
1.0
-6.549 3.300 -3.008
0.841 -6.636 4.253
3.202 3.645 6.268
Na Tl In
6 2 2
Direct
0.036 0.265 0.732
0.036 0.804 0.271
0.532 0.765 0.729
0.097 0.280 0.317
0.532 0.304 0.268
0.963 0.780 0.683
0.589 0.781 0.309
0.472 0.281 0.691
0.529 0.029 0.000
0.030 0.529 0.000
```

Short version: 2 is the most stable of them.

--- 1 ---
Density functional theory data (PBE-GGA) for an optimized crystal structure of Na4Tl2In.

Values from the calculation:
- SG: I4/mmm
- Total moment: 0.0000 μB per atom

```
Na4Tl2In
1.0
-2.881 4.695 1.956
-4.752 -1.683 -2.960
-6.270 -2.616 5.780
Na Tl In
4 2 1
Direct
0.197 0.197 0.607
0.803 0.803 0.393
0.000 0.500 0.000
0.500 0.000 0.000
0.398 0.398 0.205
0.602 0.602 0.795
0.000 0.000 0.000
```

--- 2 ---
Density functional theory data (PBE-GGA) for an optimized crystal structure of Na4Tl2In.

Values from the calculation:
- SG: P4_2/mnm
- Total moment: 0.0000 μB per atom

```
Na4Tl2In
1.0
-2.840 -2.115 0.145
6.552 -8.635 2.372
-1.063 2.168 10.830
Na Tl In
8 4 2
Direct
0.000 0.081 0.309
0.000 0.919 0.691
0.500 0.191 0.581
0.500 0.809 0.419
0.500 0.419 0.809
0.500 0.581 0.191
0.000 0.309 0.081
0.000 0.691 0.919
0.000 0.166 0.834
0.000 0.834 0.166
0.500 0.666 0.666
0.500 0.334 0.334
0.500 0.000 0.000
0.000 0.500 0.500
```

--- 3 ---
Density functional theory data (PBE-GGA) for an optimized crystal structure of Na4Tl2In.

Values from the calculation:
- SG: R-3m
- Total moment: 0.0000 μB per atom

```
Na4Tl2In
1.0
-4.056 -3.028 1.961
-1.964 -4.130 -2.925
3.301 -7.305 3.060
Na Tl In
4 2 1
Direct
0.863 0.863 0.412
0.137 0.137 0.588
0.585 0.585 0.244
0.415 0.415 0.756
0.721 0.721 0.837
0.279 0.279 0.163
0.000 0.000 0.000
```

Short version: 3 is the most stable of them.

--- 1 ---
Density functional theory data (PBE-GGA) for an optimized crystal structure of Na4Tl4In3.

Values from the calculation:
- SG: Amm2
- Total moment: 0.0000 μB per atom

```
Na4Tl4In3
1.0
5.042 0.000 0.000
-2.521 6.238 0.000
0.000 0.000 10.204
Na Tl In
4 4 3
Direct
0.752 0.503 0.763
0.752 0.503 0.237
0.898 0.795 0.500
0.935 0.869 0.000
0.590 0.180 0.500
0.591 0.182 0.000
0.090 0.179 0.724
0.090 0.179 0.276
0.424 0.848 0.241
0.424 0.848 0.759
0.254 0.508 0.000
```

--- 2 ---
Density functional theory data (PBE-GGA) for an optimized crystal structure of Na4Tl4In3.

Values from the calculation:
- SG: P-1
- Total moment: 0.0000 μB per atom

```
Na4Tl4In3
1.0
-2.515 0.418 -2.318
-1.135 -4.726 0.384
-11.051 6.358 13.658
Na Tl In
4 4 3
Direct
0.206 0.089 0.181
0.265 0.276 0.551
0.734 0.724 0.449
0.795 0.911 0.819
0.668 0.544 0.090
0.332 0.456 0.910
0.783 0.820 0.637
0.216 0.180 0.363
0.715 0.636 0.273
0.285 0.364 0.727
0.000 0.000 0.000
```

Short version: 2 is the most stable of them.

--- 1 ---
Density functional theory data (PBE-GGA) for an optimized crystal structure of Na5Tl2In4.

Values from the calculation:
- SG: Pbam
- Total moment: 0.0000 μB per atom

```
Na5Tl2In4
1.0
-0.470 -4.891 1.714
-2.467 -2.195 -6.938
15.013 -2.983 -4.395
Na Tl In
10 4 8
Direct
0.000 0.500 0.000
0.000 0.000 0.500
0.000 0.274 0.196
0.000 0.726 0.804
0.000 0.774 0.304
0.000 0.226 0.696
0.000 0.384 0.416
0.000 0.616 0.584
0.000 0.884 0.084
0.000 0.116 0.916
0.500 0.456 0.304
0.500 0.544 0.696
0.500 0.956 0.196
0.500 0.044 0.804
0.500 0.292 0.543
0.500 0.708 0.457
0.500 0.792 0.957
0.500 0.208 0.043
0.500 0.421 0.878
0.500 0.579 0.122
0.500 0.921 0.622
0.500 0.079 0.378
```

--- 2 ---
Density functional theory data (PBE-GGA) for an optimized crystal structure of Na5Tl2In4.

Values from the calculation:
- SG: C2/m
- Total moment: 0.0000 μB per atom

```
Na5Tl2In4
1.0
6.434 0.000 0.000
3.217 8.314 -0.650
3.217 1.427 5.926
Na Tl In
5 2 4
Direct
0.256 0.179 0.811
0.744 0.821 0.189
0.000 0.500 0.500
0.754 0.179 0.811
0.246 0.821 0.189
0.243 0.838 0.675
0.757 0.162 0.325
0.266 0.162 0.305
0.734 0.838 0.695
0.731 0.504 0.034
0.269 0.496 0.966
```

Short version: 1 is the most stable of them.

--- 1 ---
Density functional theory data (PBE-GGA) for an optimized crystal structure of NaTl7In2.

Values from the calculation:
- SG: Cmmm
- Total moment: 0.0000 μB per atom

```
NaTl7In2
1.0
-1.138 -2.031 4.650
0.060 -8.346 -3.630
7.510 3.778 3.488
Na Tl In
1 7 2
Direct
0.000 0.000 0.000
0.000 0.793 0.207
0.000 0.207 0.793
0.500 0.076 0.295
0.500 0.924 0.705
0.500 0.295 0.076
0.500 0.705 0.924
0.500 0.500 0.500
0.500 0.699 0.301
0.500 0.301 0.699
```

--- 2 ---
Density functional theory data (PBE-GGA) for an optimized crystal structure of NaTl7In2.

Values from the calculation:
- SG: P3m1
- Total moment: 0.0000 μB per atom

```
NaTl7In2
1.0
-4.186 1.752 -2.653
2.296 -4.517 -1.398
-7.879 -6.521 8.127
Na Tl In
1 7 2
Direct
0.000 0.000 0.052
0.333 0.667 0.414
0.333 0.667 0.150
0.000 0.000 0.329
0.000 0.000 0.752
0.667 0.333 0.555
0.667 0.333 0.957
0.333 0.667 0.890
0.667 0.333 0.232
0.333 0.667 0.653
```

Short version: 2 is the most stable of them.

--- 1 ---
Density functional theory data (PBE-GGA) for an optimized crystal structure of NaTl4In7.

Values from the calculation:
- SG: C2/m
- Total moment: 0.0000 μB per atom

```
NaTl4In7
1.0
5.788 0.000 0.000
2.894 10.793 -1.386
2.894 -0.538 5.813
Na Tl In
1 4 7
Direct
0.000 0.000 0.000
0.654 0.229 0.462
0.346 0.771 0.538
0.678 0.705 0.938
0.322 0.295 0.062
0.806 0.912 0.477
0.194 0.088 0.523
0.024 0.610 0.343
0.976 0.390 0.657
0.338 0.535 0.789
0.500 0.000 0.000
0.662 0.465 0.211
```

--- 2 ---
Density functional theory data (PBE-GGA) for an optimized crystal structure of NaTl4In7.

Values from the calculation:
- SG: C2/m
- Total moment: 0.0000 μB per atom

```
NaTl4In7
1.0
-1.893 5.750 -1.640
2.229 -5.089 -2.910
-13.408 0.312 -0.940
Na Tl In
1 4 7
Direct
0.000 0.000 0.500
0.340 0.660 0.914
0.660 0.340 0.086
0.342 0.658 0.662
0.658 0.342 0.338
0.000 0.000 0.000
0.332 0.668 0.416
0.668 0.332 0.584
0.328 0.672 0.170
0.672 0.328 0.830
0.015 0.985 0.748
0.985 0.015 0.252
```

Short version: 2 is the most stable of them.

--- 1 ---
Density functional theory data (PBE-GGA) for an optimized crystal structure of Na3Tl3In.

Values from the calculation:
- SG: C2/m
- Total moment: 0.0000 μB per atom

```
Na3Tl3In
1.0
-5.758 -4.525 0.852
5.388 -1.706 4.733
-3.293 5.926 5.153
Na Tl In
6 6 2
Direct
0.619 0.619 0.376
0.128 0.872 0.500
0.872 0.128 0.500
0.343 0.657 0.000
0.657 0.343 0.000
0.381 0.381 0.624
0.870 0.870 0.130
0.994 0.506 0.721
0.506 0.994 0.721
0.006 0.494 0.279
0.494 0.006 0.279
0.130 0.130 0.870
0.760 0.760 0.765
0.240 0.240 0.235
```

--- 2 ---
Density functional theory data (PBE-GGA) for an optimized crystal structure of Na3Tl3In.

Values from the calculation:
- SG: Pm-3n
- Total moment: 0.0000 μB per atom

```
Na3Tl3In
1.0
-4.099 -0.250 7.296
-6.841 -2.791 -3.938
2.550 -7.889 1.162
Na Tl In
6 6 2
Direct
0.000 0.250 0.500
0.000 0.750 0.500
0.500 0.000 0.750
0.750 0.500 0.000
0.500 0.000 0.250
0.250 0.500 0.000
0.250 0.000 0.500
0.000 0.500 0.250
0.500 0.750 0.000
0.750 0.000 0.500
0.000 0.500 0.750
0.500 0.250 0.000
0.500 0.500 0.500
0.000 0.000 0.000
```

Short version: 1 is the most stable of them.